# 1
Computed, not measured: PrScRuO6 after structural relaxation at the GGA-PBE level of DFT.

abc: 5.3198 5.3198 10.2162
angles: 90.00 90.00 120.00
Space group P-31c (No. 163)
Asymmetric unit:
Pr 0.0000 0.0000 0.0000
Sc 0.3333 0.6667 0.2500
Ru 0.3333 0.6667 0.7500
O 0.0232 0.3741 0.6426

Computed properties:
DOS(E_F): 10.0 states/eV per cell
E_form (uncorrected): -2.241 eV per atom



# 2
Computed, not measured: NaZrSiPb2 after structural relaxation at the GGA-PBE level of DFT.

abc: 5.606 5.606 5.753
angles: 90.00 90.00 90.00
Space group P4/mmm (No. 123)
Asymmetric unit:
Na 0.000 0.000 0.000
Zr 0.000 0.000 0.500
Si 0.500 0.500 0.000
Pb 0.000 0.500 0.500

Computed properties:
DOS(E_F): 6.1 states/eV per cell
E_form (uncorrected): 1.053 eV per atom



# 3
Computed, not measured: KBaLa2Ru after structural relaxation at the GGA-PBE level of DFT.

abc: 5.569 5.569 6.627
angles: 90.00 90.00 90.00
Space group P4/mmm (No. 123)
Asymmetric unit:
K 0.000 0.000 0.000
Ba 0.500 0.500 0.000
La 0.000 0.500 0.500
Ru 0.500 0.500 0.500

Computed properties:
DOS(E_F): 4.5 states/eV per cell
DFT formation energy: 0.038 eV per atom
Energy relative to the lowest polymorph listed for this composition: 0.000 kcal/mol of atoms



# 4
Computed, not measured: TbGa3PdPt after structural relaxation at the GGA-PBE level of DFT.

abc: 5.903 13.201 5.762
angles: 90.00 90.00 90.00
Space group Cmcm (No. 63)
Asymmetric unit:
Tb 0.000 0.203 0.250
Ga 0.000 0.356 0.750
Ga 0.213 0.000 0.000
Pd 0.000 0.157 0.750
Pt 0.000 0.408 0.250

Computed properties:
DOS(E_F): 10.5 states/eV per cell
DFT formation energy: -0.575 eV per atom



# 5
Computed, not measured: ScSe2N2 after structural relaxation at the GGA-PBE level of DFT.

abc: 4.189 4.189 4.097
angles: 90.00 90.00 90.00
Space group P4/mmm (No. 123)
Asymmetric unit:
Sc 0.000 0.000 0.000
Se 0.000 0.500 0.500
N 0.500 0.500 0.000
N 0.500 0.500 0.500

Computed properties:
DOS(E_F): 1.9 states/eV per cell
E_form (uncorrected): 0.804 eV per atom
Energy relative to the lowest polymorph listed for this composition: 6.717 kcal/mol of atoms



no.,VASP energy (eV/atom)
1,-7.811
2,-3.489
3,-4.392
4,-4.732
5,-5.186